w.
This record from Alexandria describes a relaxed Tb2ZrCd crystal. The functional is PBE.

The mass density is 7920 kg/m³. For the total moment, the calculation gives 0.00 μB/cell.

Unit cell a=3.2662 b=3.2662 c=35.5021 alpha=90.00 beta=90.00 gamma=120.00
Space group R-3m (No. 166, hexagonal axes)
Unique sites:
Tb: 0.0000 0.0000 0.0900 (multiplicity 6)
Zr: 0.0000 0.0000 0.0000 (multiplicity 3)
Cd: 0.0000 0.0000 0.5000 (multiplicity 3)

***

x.
This record from Alexandria describes a relaxed Tb2ZrCd crystal. The functional is PBE.

The mass density is 8149 kg/m³. For the total moment, the calculation gives 0.01 μB/cell.

Unit cell a=5.542 b=5.542 c=3.460 alpha=90.00 beta=90.00 gamma=90.00
Space group P4/mmm (No. 123)
Unique sites:
Tb: 0.000 0.500 0.000 (multiplicity 2)
Zr: 0.000 0.000 0.500 (multiplicity 1)
Cd: 0.500 0.500 0.500 (multiplicity 1)

***

y.
This record from Alexandria describes a relaxed Tb2ZrCd crystal. The functional is PBE.

The mass density is 8078 kg/m³. For the total moment, the calculation gives 0.00 μB/cell.

Unit cell a=3.444 b=3.444 c=9.035 alpha=90.00 beta=90.00 gamma=90.00
Space group P4/mmm (No. 123)
Unique sites:
Tb: 0.000 0.000 0.246 (multiplicity 2)
Zr: 0.500 0.500 0.500 (multiplicity 1)
Cd: 0.500 0.500 0.000 (multiplicity 1)

***

z.
This record from Alexandria describes a relaxed Tb2ZrCd crystal. The functional is PBE.

The mass density is 8095 kg/m³. For the total moment, the calculation gives 8.02 μB/cell.

Unit cell a=7.535 b=7.535 c=7.535 alpha=90.00 beta=90.00 gamma=90.00
Space group Fm-3m (No. 225)
Unique sites:
Tb: 0.250 0.250 0.250 (multiplicity 8)
Zr: 0.000 0.000 0.000 (multiplicity 4)
Cd: 0.000 0.000 0.500 (multiplicity 4)

***

Most stable pick: y. Distance to second place: 110 meV per atom.

***

w.
This record from Alexandria describes a relaxed Cd5Tc3 crystal. The functional is PBE.

The mass density is 9004 kg/m³. For the total moment, the calculation gives 0.00 μB/cell.

Unit cell a=4.492 b=12.742 c=11.035 alpha=90.00 beta=90.00 gamma=90.00
Space group Cmmm (No. 65)
Unique sites:
Cd: 0.000 0.000 0.127 (multiplicity 4)
Cd: 0.000 0.129 0.353 (multiplicity 8)
Cd: 0.000 0.352 0.179 (multiplicity 8)
Tc: 0.000 0.202 0.000 (multiplicity 4)
Tc: 0.000 0.314 0.500 (multiplicity 4)
Tc: 0.000 0.500 0.394 (multiplicity 4)

***

x.
This record from Alexandria describes a relaxed Cd5Tc3 crystal. The functional is PBE.

The mass density is 9398 kg/m³. For the total moment, the calculation gives 0.00 μB/cell.

Unit cell a=8.2675 b=8.2675 c=5.1109 alpha=90.00 beta=90.00 gamma=120.00
Space group P6_3/mcm (No. 193)
Unique sites:
Cd: 0.0000 0.2273 0.2500 (multiplicity 6)
Cd: 0.3333 0.6667 0.0000 (multiplicity 4)
Tc: 0.0000 0.4242 0.7500 (multiplicity 6)

***

Most stable pick: w. Distance to second place: 252 meV per atom.

***

w.
This record from Alexandria describes a relaxed Cd5Tc crystal. The functional is PBE.

The mass density is 9160 kg/m³. For the total moment, the calculation gives 0.00 μB/cell.

Unit cell a=11.402 b=2.964 c=7.396 alpha=90.00 beta=106.78 gamma=90.00
Space group Cm (No. 8)
Unique sites:
Cd: 0.000 0.000 0.000 (multiplicity 2)
Cd: 0.047 0.000 0.625 (multiplicity 2)
Cd: 0.169 0.500 0.334 (multiplicity 2)
Cd: 0.313 0.000 0.692 (multiplicity 2)
Cd: 0.384 0.000 0.270 (multiplicity 2)
Tc: 0.217 0.500 0.961 (multiplicity 2)

***

x.
This record from Alexandria describes a relaxed Cd5Tc crystal. The functional is PBE.

The mass density is 8283 kg/m³. For the total moment, the calculation gives 2.70 μB/cell.

Unit cell a=5.5746 b=5.5746 c=4.9164 alpha=90.00 beta=90.00 gamma=120.00
Space group P6/mmm (No. 191)
Unique sites:
Cd: 0.0000 0.5000 0.0000 (multiplicity 3)
Cd: 0.3333 0.6667 0.5000 (multiplicity 2)
Tc: 0.0000 0.0000 0.5000 (multiplicity 1)

***

y.
This record from Alexandria describes a relaxed Cd5Tc crystal. The functional is PBE.

The mass density is 8707 kg/m³. For the total moment, the calculation gives 10.02 μB/cell.

Unit cell a=7.956 b=7.956 c=7.956 alpha=90.00 beta=90.00 gamma=90.00
Space group F-43m (No. 216)
Unique sites:
Cd: 0.000 0.000 0.000 (multiplicity 4)
Cd: 0.124 0.124 0.376 (multiplicity 16)
Tc: 0.250 0.250 0.750 (multiplicity 4)

***

Most stable pick: w. Distance to second place: 295 meV per atom.

***

w.
This record from Alexandria describes a relaxed Cd3Tc5 crystal. The functional is PBE.

The mass density is 9566 kg/m³. For the total moment, the calculation gives 1.05 μB/cell.

Unit cell a=8.4456 b=8.4456 c=4.6494 alpha=90.00 beta=90.00 gamma=120.00
Space group P6_3/mcm (No. 193)
Unique sites:
Cd: 0.0000 0.3914 0.2500 (multiplicity 6)
Tc: 0.0000 0.1744 0.7500 (multiplicity 6)
Tc: 0.3333 0.6667 0.0000 (multiplicity 4)

***

x.
This record from Alexandria describes a relaxed Cd3Tc5 crystal. The functional is PBE.

The mass density is 9504 kg/m³. For the total moment, the calculation gives 0.00 μB/cell.

Unit cell a=4.917 b=7.870 c=8.087 alpha=82.77 beta=75.96 gamma=72.49
Space group P-1 (No. 2)
Unique sites:
Cd: 0.193 0.075 0.048 (multiplicity 2)
Cd: 0.195 0.106 0.512 (multiplicity 2)
Cd: 0.290 0.485 0.903 (multiplicity 2)
Tc: 0.092 0.685 0.214 (multiplicity 2)
Tc: 0.233 0.489 0.549 (multiplicity 2)
Tc: 0.249 0.348 0.238 (multiplicity 2)
Tc: 0.296 0.761 0.655 (multiplicity 2)
Tc: 0.428 0.790 0.321 (multiplicity 2)

***

Most stable pick: x. Distance to second place: 241 meV per atom.

***

w.
This record from Alexandria describes a relaxed CdTc2Te crystal. The functional is PBE.

The mass density is 9996 kg/m³. For the total moment, the calculation gives 0.71 μB/cell.

Unit cell a=3.1187 b=3.1187 c=25.7966 alpha=90.00 beta=90.00 gamma=120.00
Space group R-3m (No. 166, hexagonal axes)
Unique sites:
Cd: 0.0000 0.0000 0.0000 (multiplicity 3)
Tc: 0.0000 0.0000 0.2435 (multiplicity 6)
Te: 0.0000 0.0000 0.5000 (multiplicity 3)

***

x.
This record from Alexandria describes a relaxed CdTc2Te crystal. The functional is PBE.

The mass density is 8349 kg/m³. For the total moment, the calculation gives 0.00 μB/cell.

Unit cell a=3.203 b=4.066 c=6.659 alpha=90.00 beta=90.46 gamma=90.00
Space group Pm (No. 6)
Unique sites:
Cd: 0.000 0.000 0.000 (multiplicity 1)
Tc: 0.504 0.000 0.358 (multiplicity 1)
Tc: 0.964 0.500 0.331 (multiplicity 1)
Te: 0.468 0.500 0.661 (multiplicity 1)

***

Most stable pick: x. Distance to second place: 55 meV per atom.

***

w.
This record from Alexandria describes a relaxed CdTc2Te crystal. The functional is PBE.

The mass density is 9070 kg/m³. For the total moment, the calculation gives 0.00 μB/cell.

Unit cell a=3.0092 b=3.0092 c=30.5350 alpha=90.00 beta=90.00 gamma=120.00
Space group R3m (No. 160, hexagonal axes)
Unique sites:
Cd: 0.0000 0.0000 0.0000 (multiplicity 3)
Tc: 0.0000 0.0000 0.2530 (multiplicity 3)
Tc: 0.0000 0.0000 0.5240 (multiplicity 3)
Te: 0.0000 0.0000 0.7822 (multiplicity 3)

***

x.
This record from Alexandria describes a relaxed CdTc2Te crystal. The functional is PBE.

The mass density is 9819 kg/m³. For the total moment, the calculation gives 2.12 μB/cell.

Unit cell a=3.435 b=4.420 c=4.858 alpha=90.00 beta=90.00 gamma=90.00
Space group Pmmm (No. 47)
Unique sites:
Cd: 0.000 0.000 0.000 (multiplicity 1)
Tc: 0.000 0.500 0.500 (multiplicity 1)
Tc: 0.500 0.500 0.000 (multiplicity 1)
Te: 0.500 0.000 0.500 (multiplicity 1)

***

Most stable pick: w. Distance to second place: 433 meV per atom.

***

w.
This record from Alexandria describes a relaxed CdTc2Te crystal. The functional is PBE.

The mass density is 10196 kg/m³. For the total moment, the calculation gives 0.00 μB/cell.

Unit cell a=4.090 b=4.090 c=8.492 alpha=90.00 beta=90.00 gamma=90.00
Space group I-4m2 (No. 119)
Unique sites:
Cd: 0.000 0.000 0.000 (multiplicity 2)
Tc: 0.000 0.000 0.500 (multiplicity 2)
Tc: 0.000 0.500 0.750 (multiplicity 2)
Te: 0.000 0.500 0.250 (multiplicity 2)

***

x.
This record from Alexandria describes a relaxed CdTc2Te crystal. The functional is PBE.

The mass density is 10327 kg/m³. For the total moment, the calculation gives 0.01 μB/cell.

Unit cell a=3.239 b=3.239 c=6.681 alpha=90.00 beta=90.00 gamma=90.00
Space group P4/mmm (No. 123)
Unique sites:
Cd: 0.000 0.000 0.000 (multiplicity 1)
Tc: 0.500 0.500 0.273 (multiplicity 2)
Te: 0.000 0.000 0.500 (multiplicity 1)

***

y.
This record from Alexandria describes a relaxed CdTc2Te crystal. The functional is PBE.

The mass density is 10051 kg/m³. For the total moment, the calculation gives 0.00 μB/cell.

Unit cell a=9.939 b=3.163 c=4.921 alpha=90.00 beta=111.35 gamma=90.00
Space group Cm (No. 8)
Unique sites:
Cd: 0.000 0.000 0.000 (multiplicity 2)
Tc: 0.250 0.500 0.115 (multiplicity 2)
Tc: 0.462 0.000 0.475 (multiplicity 2)
Te: 0.215 0.000 0.643 (multiplicity 2)

***

Most stable pick: x. Distance to second place: 9 meV per atom.

***

w.
This record from Alexandria describes a relaxed CdTc2Te crystal. The functional is PBE.

The mass density is 9935 kg/m³. For the total moment, the calculation gives 0.00 μB/cell.

Unit cell a=3.235 b=4.985 c=9.039 alpha=90.00 beta=90.00 gamma=90.00
Space group Immm (No. 71)
Unique sites:
Cd: 0.000 0.000 0.000 (multiplicity 2)
Tc: 0.000 0.500 0.228 (multiplicity 4)
Te: 0.000 0.000 0.500 (multiplicity 2)

***

x.
This record from Alexandria describes a relaxed CdTc2Te crystal. The functional is PBE.

The mass density is 9965 kg/m³. For the total moment, the calculation gives 0.12 μB/cell.

Unit cell a=6.624 b=6.624 c=6.624 alpha=90.00 beta=90.00 gamma=90.00
Space group F-43m (No. 216)
Unique sites:
Cd: 0.000 0.000 0.000 (multiplicity 4)
Tc: 0.000 0.000 0.500 (multiplicity 4)
Tc: 0.250 0.250 0.250 (multiplicity 4)
Te: 0.250 0.250 0.750 (multiplicity 4)

***

y.
This record from Alexandria describes a relaxed CdTc2Te crystal. The functional is PBE.

The mass density is 9749 kg/m³. For the total moment, the calculation gives 0.00 μB/cell.

Unit cell a=3.213 b=5.233 c=8.835 alpha=90.00 beta=90.00 gamma=90.00
Space group Cmmm (No. 65)
Unique sites:
Cd: 0.000 0.000 0.000 (multiplicity 2)
Tc: 0.000 0.500 0.269 (multiplicity 4)
Te: 0.000 0.000 0.500 (multiplicity 2)

***

Most stable pick: w. Distance to second place: 22 meV per atom.

***

w.
This record from Alexandria describes a relaxed CdTc2Te crystal. The functional is PBE.

The mass density is 9926 kg/m³. For the total moment, the calculation gives 0.00 μB/cell.

Unit cell a=3.106 b=4.083 c=5.918 alpha=90.00 beta=103.61 gamma=90.00
Space group P2/m (No. 10)
Unique sites:
Cd: 0.000 0.000 0.000 (multiplicity 1)
Tc: 0.368 0.500 0.730 (multiplicity 2)
Te: 0.000 0.000 0.500 (multiplicity 1)

***

x.
This record from Alexandria describes a relaxed CdTc2Te crystal. The functional is PBE.

The mass density is 9022 kg/m³. For the total moment, the calculation gives 0.00 μB/cell.

Unit cell a=3.044 b=3.044 c=8.658 alpha=90.00 beta=90.00 gamma=90.00
Space group P4mm (No. 99)
Unique sites:
Cd: 0.000 0.000 0.000 (multiplicity 1)
Tc: 0.000 0.000 0.404 (multiplicity 1)
Tc: 0.500 0.500 0.226 (multiplicity 1)
Te: 0.500 0.500 0.622 (multiplicity 1)

***

Most stable pick: x. Distance to second place: 396 meV per atom.

***

w.
This record from Alexandria describes a relaxed CdTcTe crystal. The functional is PBE.

The mass density is 8406 kg/m³. For the total moment, the calculation gives 0.02 μB/cell.

Unit cell a=3.272 b=5.331 c=15.311 alpha=90.00 beta=90.00 gamma=90.00
Space group Fmm2 (No. 42)
Unique sites:
Cd: 0.000 0.000 0.000 (multiplicity 4)
Tc: 0.000 0.000 0.650 (multiplicity 4)
Te: 0.000 0.000 0.283 (multiplicity 4)

***

x.
This record from Alexandria describes a relaxed CdTcTe crystal. The functional is PBE.

The mass density is 8318 kg/m³. For the total moment, the calculation gives 0.00 μB/cell.

Unit cell a=3.3585 b=3.3585 c=6.9073 alpha=90.00 beta=90.00 gamma=120.00
Space group P3m1 (No. 156)
Unique sites:
Cd: 0.0000 0.0000 0.0000 (multiplicity 1)
Tc: 0.3333 0.6667 0.3090 (multiplicity 1)
Te: 0.6667 0.3333 0.5595 (multiplicity 1)

***

Most stable pick: x. Distance to second place: 345 meV per atom.

***

w.
This record from Alexandria describes a relaxed ThCdTc crystal. The functional is PBE.

The mass density is 10420 kg/m³. For the total moment, the calculation gives 0.00 μB/cell.

Unit cell a=4.015 b=18.208 c=3.858 alpha=90.00 beta=90.00 gamma=90.00
Space group Cmcm (No. 63)
Unique sites:
Th: 0.000 0.092 0.250 (multiplicity 4)
Cd: 0.000 0.289 0.250 (multiplicity 4)
Tc: 0.000 0.448 0.250 (multiplicity 4)

***

x.
This record from Alexandria describes a relaxed ThCdTc crystal. The functional is PBE.

The mass density is 9709 kg/m³. For the total moment, the calculation gives 0.05 μB/cell.

Unit cell a=3.866 b=3.866 c=10.124 alpha=90.00 beta=90.00 gamma=90.00
Space group P4/nmm (No. 129, origin choice 2)
Unique sites:
Th: 0.250 0.250 0.199 (multiplicity 2)
Cd: 0.250 0.750 0.500 (multiplicity 2)
Tc: 0.250 0.250 0.955 (multiplicity 2)

***

Most stable pick: w. Distance to second place: 369 meV per atom.